# AlCrCoRe

An optimized crystal structure of AlCrCoRe (PBE, Alexandria).

CIF file:
```
data_AlCrCoRe
_space_group_name_H-M_alt 'P 1'
_space_group_IT_number 1
_space_group_name_Hall 'P 1'
_cell_length_a 4.1638
_cell_length_b 4.1638
_cell_length_c 4.1638
_cell_angle_alpha 60.00
_cell_angle_beta 60.00
_cell_angle_gamma 60.00
loop_
_atom_site_label
_atom_site_type_symbol
_atom_site_fract_x
_atom_site_fract_y
_atom_site_fract_z
Al1 Al 0.0000 0.0000 0.0000
Cr1 Cr 0.5000 0.5000 0.5000
Co1 Co 0.2500 0.2500 0.2500
Re1 Re 0.7500 0.7500 0.7500
```

Energy of formation from the pure elements   -0.12 eV/atom
Crystal system   cubic
Space group   F-43m, No. 216